{"formula": "CaH3", "functional": "PBE", "state": "optimized geometry", "cell": [[3.202, -1.979, 0.000], [3.202, 1.979, 0.000], [-1.986, 0.000, 3.210]], "species": ["Ca", "H", "H", "H"], "frac_coords": [[0.000, 0.000, 0.000], [0.253, 0.253, 0.746], [0.606, 0.606, 0.394], [0.708, 0.708, 0.295]], "total_energy_ev_per_atom": -3.198, "magmom_total_mub_per_cell": 0.00}